The following is a DFT calculation (PBE with a Hubbard U) of RbTbCrO4 after structural relaxation.

The raw total energy is -6.981 eV/atom.

The structure belongs to space group P2_1/m (No. 11); the cell edges are 5.873, 5.925 and 7.715 Å and the angles 90.00°, 108.37° and 90.00°. Symmetry generates all atoms from Rb at (0.199, 0.250, 0.434), Tb at (0.306, 0.250, 0.960), Cr at (0.235, 0.750, 0.159), O at (0.029, 0.750, 0.937), O at (0.043, 0.750, 0.296) and O at (0.456, 0.524, 0.171).